No. 1
This record from Alexandria via LeMat-Bulk describes an optimized crystal structure of Tb3Y8Mg. The functional is PBE-GGA.

a b c (Å): 9.4562 3.6112 11.9426
angles (deg): 90.00 110.65 90.00
Space group Pm (No. 6)
Inequivalent atoms, fractional coordinates:
Tb1 0.0000 0.0000 0.0000 [1 per cell]
Tb2 0.2511 0.5000 0.2455 [1 per cell]
Tb3 0.6125 0.0000 0.9359 [1 per cell]
Y1 0.0542 0.0000 0.7184 [1 per cell]
Y2 0.1054 0.0000 0.4348 [1 per cell]
Y3 0.3105 0.5000 0.9737 [1 per cell]
Y4 0.3595 0.5000 0.6918 [1 per cell]
Y5 0.4928 0.0000 0.4965 [1 per cell]
Y6 0.7473 0.5000 0.7438 [1 per cell]
Y7 0.7991 0.5000 0.4642 [1 per cell]
Y8 0.8479 0.5000 0.1869 [1 per cell]
Mg1 0.5527 0.0000 0.2184 [1 per cell]

Results
**Raw total energy**: -5.591 eV/atom
**Fermi-level density of states**: 19.39 states/eV/cell
**Calculated volume**: 381.6 Å³/f.u.
**Crystal system**: monoclinic
**Magnetic moment**: 0.000 μB/atom
**E_form**: 9.0 meV/atom


No. 2
This record from Alexandria via LeMat-Bulk describes an optimized crystal structure of Tb2Y7Mg2. The functional is PBE-GGA.

a b c (Å): 11.6297 11.2863 5.7156
angles (deg): 90.00 111.62 90.00
Space group C2/m (No. 12)
Inequivalent atoms, fractional coordinates:
Tb1 0.0000 0.2225 0.0000 [4 per cell]
Y1 0.0000 0.0000 0.5000 [2 per cell]
Y2 0.1893 0.2089 0.6829 [8 per cell]
Y3 0.2249 0.0000 0.1611 [4 per cell]
Mg1 0.0667 0.5000 0.2818 [4 per cell]

Results
**Raw total energy**: -5.072 eV/atom
**Fermi-level density of states**: 29.55 states/eV/cell
**Calculated volume**: 348.7 Å³/f.u.
**Crystal system**: monoclinic
**Magnetic moment**: 0.000 μB/atom
**E_form**: 172.8 meV/atom
**Energy above the lowest structure with this stoichiometry**: 11.95 kJ per mole of atoms


No. 3
This record from Alexandria via LeMat-Bulk describes an optimized crystal structure of Tb5Y4Mg. The functional is PBE-GGA.

a b c (Å): 10.5897 10.5897 5.7731
angles (deg): 90.00 90.00 90.00
Space group I4mm (No. 107)
Inequivalent atoms, fractional coordinates:
Tb1 0.0000 0.0000 0.0000 [2 per cell]
Tb2 0.1856 0.1856 0.7202 [8 per cell]
Y1 0.0000 0.3196 0.2103 [8 per cell]
Mg1 0.0000 0.0000 0.4772 [2 per cell]

Results
**Raw total energy**: -4.866 eV/atom
**Fermi-level density of states**: 23.83 states/eV/cell
**Calculated volume**: 323.7 Å³/f.u.
**Crystal system**: tetragonal
**Magnetic moment**: 0.000 μB/atom
**E_form**: 194.7 meV/atom
**Energy above the lowest structure with this stoichiometry**: 18.68 kJ per mole of atoms


No. 4
This record from Alexandria via LeMat-Bulk describes an optimized crystal structure of TbYMg. The functional is PBE-GGA.

a b c (Å): 3.4710 5.3931 9.4667
angles (deg): 90.00 90.05 90.00
Space group P2_1 (No. 4)
Inequivalent atoms, fractional coordinates:
Tb1 0.0021 0.0000 0.0836 [2 per cell]
Y1 0.5000 0.0001 0.7420 [2 per cell]
Mg1 0.0014 0.5015 0.5798 [2 per cell]

Results
**Raw total energy**: -4.224 eV/atom
**Fermi-level density of states**: 7.42 states/eV/cell
**Calculated volume**: 88.6 Å³/f.u.
**Crystal system**: monoclinic
**Magnetic moment**: 0.000 μB/atom
**E_form**: 5.5 meV/atom
**Energy above the lowest structure with this stoichiometry**: 8.08 kJ per mole of atoms


No. 5
This record from Alexandria via LeMat-Bulk describes an optimized crystal structure of Tb4YMg3. The functional is PBE-GGA.

a b c (Å): 3.8058 5.4657 11.0488
angles (deg): 90.00 90.00 90.00
Space group Pmmm (No. 47)
Inequivalent atoms, fractional coordinates:
Tb1 0.0000 0.0000 0.0000 [1 per cell]
Tb2 0.0000 0.0000 0.5000 [1 per cell]
Tb3 0.0000 0.5000 0.2377 [2 per cell]
Y1 0.5000 0.5000 0.5000 [1 per cell]
Mg1 0.5000 0.0000 0.2489 [2 per cell]
Mg2 0.5000 0.5000 0.0000 [1 per cell]

Results
**Raw total energy**: -3.735 eV/atom
**Fermi-level density of states**: 10.93 states/eV/cell
**Calculated volume**: 229.8 Å³/f.u.
**Crystal system**: orthorhombic
**Magnetic moment**: 0.000 μB/atom
**E_form**: -13.5 meV/atom


No. 6
This record from Alexandria via LeMat-Bulk describes an optimized crystal structure of TbY4Mg. The functional is PBE-GGA.

a b c (Å): 3.6015 3.6015 14.2676
angles (deg): 90.00 90.00 90.00
Space group P4/mmm (No. 123)
Inequivalent atoms, fractional coordinates:
Tb1 0.0000 0.0000 0.0000 [1 per cell]
Y1 0.0000 0.0000 0.3500 [2 per cell]
Y2 0.5000 0.5000 0.1750 [2 per cell]
Mg1 0.5000 0.5000 0.5000 [1 per cell]

Results
**Raw total energy**: -5.364 eV/atom
**Fermi-level density of states**: 9.37 states/eV/cell
**Calculated volume**: 185.1 Å³/f.u.
**Crystal system**: tetragonal
**Magnetic moment**: 0.000 μB/atom
**E_form**: -17.5 meV/atom
**Energy above the lowest structure with this stoichiometry**: 0.00 kJ per mole of atoms


No. 7
This record from Alexandria via LeMat-Bulk describes an optimized crystal structure of Tb2Y2Mg3. The functional is PBE-GGA.

a b c (Å): 3.7657 3.7657 27.8128
angles (deg): 90.00 90.00 90.00
Space group I4/mmm (No. 139)
Inequivalent atoms, fractional coordinates:
Tb1 0.0000 0.0000 0.2076 [4 per cell]
Y1 0.0000 0.0000 0.0678 [4 per cell]
Mg1 0.0000 0.0000 0.3627 [4 per cell]
Mg2 0.0000 0.0000 0.5000 [2 per cell]

Results
**Raw total energy**: -3.932 eV/atom
**Fermi-level density of states**: 19.34 states/eV/cell
**Calculated volume**: 197.2 Å³/f.u.
**Crystal system**: tetragonal
**Magnetic moment**: 0.000 μB/atom
**E_form**: -78.6 meV/atom


No. 8
This record from Alexandria via LeMat-Bulk describes an optimized crystal structure of Tb2Y8Mg. The functional is PBE-GGA.

a b c (Å): 17.6545 6.6811 6.4164
angles (deg): 90.00 110.29 90.00
Space group C2/m (No. 12)
Inequivalent atoms, fractional coordinates:
Tb1 0.2287 0.0000 0.1159 [4 per cell]
Y1 0.0737 0.0000 0.2473 [4 per cell]
Y2 0.0958 0.2545 0.7183 [8 per cell]
Y3 0.2018 0.5000 0.3173 [4 per cell]
Mg1 0.0000 0.5000 0.0000 [2 per cell]

Results
**Raw total energy**: -5.511 eV/atom
**Fermi-level density of states**: 33.93 states/eV/cell
**Calculated volume**: 354.9 Å³/f.u.
**Crystal system**: monoclinic
**Magnetic moment**: 0.000 μB/atom
**E_form**: 177.0 meV/atom
**Energy above the lowest structure with this stoichiometry**: 3.74 kJ per mole of atoms


No. 9
This record from Alexandria via LeMat-Bulk describes an optimized crystal structure of Tb4YMg2. The functional is PBE-GGA.

a b c (Å): 5.4689 5.4689 24.1293
angles (deg): 90.00 90.00 120.00
Space group R-3m (No. 166, hexagonal axes)
Inequivalent atoms, fractional coordinates:
Tb1 0.0000 0.0000 0.0678 [6 per cell]
Tb2 0.0000 0.0000 0.2069 [6 per cell]
Y1 0.0000 0.0000 0.5000 [3 per cell]
Mg1 0.0000 0.0000 0.3511 [6 per cell]

Results
**Raw total energy**: -3.959 eV/atom
**Fermi-level density of states**: 29.41 states/eV/cell
**Calculated volume**: 208.3 Å³/f.u.
**Crystal system**: trigonal
**Magnetic moment**: 0.000 μB/atom
**E_form**: 66.2 meV/atom


No. 10
This record from Alexandria via LeMat-Bulk describes an optimized crystal structure of Tb2Y2Mg. The functional is PBE-GGA.

a b c (Å): 3.5975 3.5975 23.4864
angles (deg): 90.00 90.00 90.00
Space group I4/mmm (No. 139)
Inequivalent atoms, fractional coordinates:
Tb1 0.0000 0.0000 0.1970 [4 per cell]
Y1 0.0000 0.0000 0.4082 [4 per cell]
Mg1 0.0000 0.0000 0.0000 [2 per cell]

Results
**Raw total energy**: -4.781 eV/atom
**Fermi-level density of states**: 16.22 states/eV/cell
**Calculated volume**: 152.0 Å³/f.u.
**Crystal system**: tetragonal
**Magnetic moment**: 0.001 μB/atom
**E_form**: -24.6 meV/atom
**Energy above the lowest structure with this stoichiometry**: 0.00 kJ per mole of atoms


No. 11
This record from Alexandria via LeMat-Bulk describes an optimized crystal structure of TbY4Mg. The functional is PBE-GGA.

a b c (Å): 17.8853 3.6075 6.0136
angles (deg): 90.00 106.72 90.00
Space group C2/m (No. 12)
Inequivalent atoms, fractional coordinates:
Tb1 0.0000 0.0000 0.0000 [2 per cell]
Y1 0.1630 0.0000 0.5014 [4 per cell]
Y2 0.1679 0.5000 0.0118 [4 per cell]
Mg1 0.0000 0.5000 0.5000 [2 per cell]

Results
**Raw total energy**: -5.326 eV/atom
**Fermi-level density of states**: 16.61 states/eV/cell
**Calculated volume**: 185.8 Å³/f.u.
**Crystal system**: monoclinic
**Magnetic moment**: 0.000 μB/atom
**E_form**: 20.9 meV/atom
**Energy above the lowest structure with this stoichiometry**: 3.71 kJ per mole of atoms


No. 12
This record from Alexandria via LeMat-Bulk describes an optimized crystal structure of Tb7Y4Mg. The functional is PBE-GGA.

a b c (Å): 3.5601 3.5601 34.4616
angles (deg): 90.00 90.00 120.00
Space group P-3m1 (No. 164)
Inequivalent atoms, fractional coordinates:
Tb1 0.0000 0.0000 0.0000 [1 per cell]
Tb2 0.0000 0.0000 0.2531 [2 per cell]
Tb3 0.3333 0.6667 0.1689 [2 per cell]
Tb4 0.3333 0.6667 0.4217 [2 per cell]
Y1 0.3333 0.6667 0.6622 [2 per cell]
Y2 0.3333 0.6667 0.9156 [2 per cell]
Mg1 0.0000 0.0000 0.5000 [1 per cell]

Results
**Raw total energy**: -4.967 eV/atom
**Fermi-level density of states**: 17.09 states/eV/cell
**Calculated volume**: 378.3 Å³/f.u.
**Crystal system**: trigonal
**Magnetic moment**: 0.000 μB/atom
**E_form**: 21.2 meV/atom
**Energy above the lowest structure with this stoichiometry**: 0.00 kJ per mole of atoms


No. 13
This record from Alexandria via LeMat-Bulk describes an optimized crystal structure of TbY2Mg5. The functional is PBE-GGA.

a b c (Å): 5.2602 5.2602 15.1550
angles (deg): 90.00 90.00 90.00
Space group I4/mmm (No. 139)
Inequivalent atoms, fractional coordinates:
Tb1 0.0000 0.0000 0.0000 [2 per cell]
Y1 0.0000 0.0000 0.2569 [4 per cell]
Mg1 0.0000 0.0000 0.5000 [2 per cell]
Mg2 0.0000 0.5000 0.1197 [8 per cell]

Results
**Raw total energy**: -3.281 eV/atom
**Fermi-level density of states**: 11.90 states/eV/cell
**Calculated volume**: 209.7 Å³/f.u.
**Crystal system**: tetragonal
**Magnetic moment**: 0.020 μB/atom
**E_form**: -89.7 meV/atom


No. 14
This record from Alexandria via LeMat-Bulk describes an optimized crystal structure of Tb6Y3Mg. The functional is PBE-GGA.

a b c (Å): 9.4355 14.7364 9.0778
angles (deg): 90.00 90.00 90.00
Space group Cmc2_1 (No. 36)
Inequivalent atoms, fractional coordinates:
Tb1 0.0000 0.0638 0.0000 [4 per cell]
Tb2 0.0000 0.2980 0.8698 [4 per cell]
Tb3 0.1756 0.3479 0.4832 [8 per cell]
Tb4 0.2145 0.0711 0.3160 [8 per cell]
Y1 0.0000 0.4658 0.1449 [4 per cell]
Y2 0.1768 0.1447 0.6546 [8 per cell]
Mg1 0.0000 0.2406 0.2211 [4 per cell]

Results
**Raw total energy**: -4.752 eV/atom
**Fermi-level density of states**: 49.46 states/eV/cell
**Calculated volume**: 315.6 Å³/f.u.
**Crystal system**: orthorhombic
**Magnetic moment**: 0.000 μB/atom
**E_form**: 125.0 meV/atom
**Energy above the lowest structure with this stoichiometry**: 10.08 kJ per mole of atoms


No. 15
This record from Alexandria via LeMat-Bulk describes an optimized crystal structure of Tb6Y3Mg. The functional is PBE-GGA.

a b c (Å): 11.1248 5.0251 11.2205
angles (deg): 90.00 90.60 90.00
Space group P2_1/m (No. 11)
Inequivalent atoms, fractional coordinates:
Tb1 0.0477 0.2500 0.3983 [2 per cell]
Tb2 0.1462 0.7500 0.1926 [2 per cell]
Tb3 0.1502 0.2500 0.6960 [2 per cell]
Tb4 0.2443 0.2500 0.9968 [2 per cell]
Tb5 0.3457 0.7500 0.7989 [2 per cell]
Tb6 0.4480 0.2500 0.6022 [2 per cell]
Y1 0.2481 0.7500 0.4959 [2 per cell]
Y2 0.3485 0.2500 0.2952 [2 per cell]
Y3 0.4491 0.7500 0.0993 [2 per cell]
Mg1 0.0481 0.7500 0.9008 [2 per cell]

Results
**Raw total energy**: -4.856 eV/atom
**Fermi-level density of states**: 28.76 states/eV/cell
**Calculated volume**: 313.6 Å³/f.u.
**Crystal system**: monoclinic
**Magnetic moment**: 0.000 μB/atom
**E_form**: 20.5 meV/atom
**Energy above the lowest structure with this stoichiometry**: 0.00 kJ per mole of atoms


No. 16
This record from Alexandria via LeMat-Bulk describes an optimized crystal structure of TbY2Mg9. The functional is PBE-GGA.

a b c (Å): 6.0506 6.0506 29.0186
angles (deg): 90.00 90.00 120.00
Space group R-3m (No. 166, hexagonal axes)
Inequivalent atoms, fractional coordinates:
Tb1 0.0000 0.0000 0.0000 [3 per cell]
Y1 0.0000 0.0000 0.1422 [6 per cell]
Mg1 0.0000 0.0000 0.3341 [6 per cell]
Mg2 0.0000 0.0000 0.5000 [3 per cell]
Mg3 0.0052 0.5026 0.9159 [18 per cell]

Results
**Raw total energy**: -2.706 eV/atom
**Fermi-level density of states**: 33.04 states/eV/cell
**Calculated volume**: 306.7 Å³/f.u.
**Crystal system**: trigonal
**Magnetic moment**: 0.000 μB/atom
**E_form**: -46.5 meV/atom


No. 17
This record from Alexandria via LeMat-Bulk describes an optimized crystal structure of Tb6Y5Mg. The functional is PBE-GGA.

a b c (Å): 5.0159 10.0120 15.0367
angles (deg): 90.00 90.00 90.00
Space group Immm (No. 71)
Inequivalent atoms, fractional coordinates:
Tb1 0.0000 0.2481 0.1673 [8 per cell]
Tb2 0.0000 0.2500 0.5000 [4 per cell]
Y1 0.0000 0.0000 0.3342 [4 per cell]
Y2 0.0000 0.5000 0.0000 [2 per cell]
Y3 0.0000 0.5000 0.3341 [4 per cell]
Mg1 0.0000 0.0000 0.0000 [2 per cell]

Results
**Raw total energy**: -5.118 eV/atom
**Fermi-level density of states**: 36.66 states/eV/cell
**Calculated volume**: 377.6 Å³/f.u.
**Crystal system**: orthorhombic
**Magnetic moment**: 0.000 μB/atom
**E_form**: 23.5 meV/atom


No. 18
This record from Alexandria via LeMat-Bulk describes an optimized crystal structure of Tb2Y4Mg. The functional is PBE-GGA.

a b c (Å): 13.4339 20.0693 6.7258
angles (deg): 90.00 90.00 90.00
Space group Ccce (No. 68, origin choice 2)
Inequivalent atoms, fractional coordinates:
Tb1 0.0000 0.0000 0.2500 [8 per cell]
Tb2 0.2494 0.2500 0.2500 [8 per cell]
Y1 0.0657 0.1652 0.9997 [16 per cell]
Y2 0.1732 0.1195 0.5014 [16 per cell]
Mg1 0.2500 0.0000 0.2523 [8 per cell]

Results
**Raw total energy**: -5.055 eV/atom
**Fermi-level density of states**: 91.47 states/eV/cell
**Calculated volume**: 226.7 Å³/f.u.
**Crystal system**: orthorhombic
**Magnetic moment**: 0.000 μB/atom
**E_form**: 189.8 meV/atom
**Energy above the lowest structure with this stoichiometry**: 9.16 kJ per mole of atoms


No. 19
This record from Alexandria via LeMat-Bulk describes an optimized crystal structure of Tb7Y4Mg. The functional is PBE-GGA.

a b c (Å): 11.9467 5.8422 12.6810
angles (deg): 90.00 117.05 90.00
Space group C2/m (No. 12)
Inequivalent atoms, fractional coordinates:
Tb1 0.0000 0.0000 0.0000 [2 per cell]
Tb2 0.0923 0.5000 0.2784 [4 per cell]
Tb3 0.1339 0.0000 0.4809 [4 per cell]
Tb4 0.2025 0.5000 0.9240 [4 per cell]
Y1 0.1322 0.0000 0.7735 [4 per cell]
Y2 0.1637 0.5000 0.6369 [4 per cell]
Mg1 0.0000 0.5000 0.0000 [2 per cell]

Results
**Raw total energy**: -4.727 eV/atom
**Fermi-level density of states**: 41.01 states/eV/cell
**Calculated volume**: 394.1 Å³/f.u.
**Crystal system**: monoclinic
**Magnetic moment**: 0.000 μB/atom
**E_form**: 261.4 meV/atom
**Energy above the lowest structure with this stoichiometry**: 23.18 kJ per mole of atoms


No. 20
This record from Alexandria via LeMat-Bulk describes an optimized crystal structure of Tb3Y6Mg. The functional is PBE-GGA.

a b c (Å): 9.3770 14.9133 9.0746
angles (deg): 90.00 90.00 90.00
Space group Cmc2_1 (No. 36)
Inequivalent atoms, fractional coordinates:
Tb1 0.0000 0.0361 0.0000 [4 per cell]
Tb2 0.1756 0.3576 0.4834 [8 per cell]
Y1 0.0000 0.2066 0.2687 [4 per cell]
Y2 0.0000 0.4370 0.1372 [4 per cell]
Y3 0.1759 0.1553 0.6538 [8 per cell]
Y4 0.2192 0.4301 0.8199 [8 per cell]
Mg1 0.0000 0.2622 0.9160 [4 per cell]

Results
**Raw total energy**: -5.302 eV/atom
**Fermi-level density of states**: 52.05 states/eV/cell
**Calculated volume**: 317.3 Å³/f.u.
**Crystal system**: orthorhombic
**Magnetic moment**: 0.000 μB/atom
**E_form**: 125.2 meV/atom
**Energy above the lowest structure with this stoichiometry**: 10.20 kJ per mole of atoms